No. 1
Na7Tl3Hg | PBE | optimized geometry

Values from the calculation:
D(E_F)   0.4330 states/eV/atom
Distance to the lowest polymorph of the same formula   0 meV per atom
DFT total energy   -1.600 eV/atom
E_form   -0.09 eV/atom

abc: 15.3536 15.3536 11.8736
angles: 90.00 90.00 166.34
Closest atoms and distances in Å follow each position.
Atoms (fractional coordinates):
1 Na 0.0283 0.9717 0.6138  3 Na 3.21-3.55, 2 Hg 3.24, 4 Tl 3.39-3.43
2 Na 0.0283 0.9717 0.8862  3 Na 3.21-3.55, 2 Hg 3.24, 4 Tl 3.39-3.43
3 Na 0.1383 0.8617 0.2500  4 Tl 3.31, 8 Na 3.62-3.66
4 Na 0.1423 0.8577 0.5543  2 Hg 3.25, 4 Tl 3.45-3.56, 2 Na 3.55-3.62
5 Na 0.1423 0.8577 0.9457  2 Hg 3.25, 4 Tl 3.45-3.56, 2 Na 3.55-3.62
6 Na 0.2740 0.7260 0.6054  2 Tl 3.36, 9 Na 3.43-3.66
7 Na 0.2740 0.7260 0.8946  2 Tl 3.36, 9 Na 3.43-3.66
8 Na 0.7260 0.2740 0.1054  2 Tl 3.36, 9 Na 3.43-3.66
9 Na 0.7260 0.2740 0.3946  2 Tl 3.36, 9 Na 3.43-3.66
10 Na 0.8577 0.1423 0.0543  2 Hg 3.25, 4 Tl 3.45-3.56, 2 Na 3.55-3.62
11 Na 0.8577 0.1423 0.4457  2 Hg 3.25, 4 Tl 3.45-3.56, 2 Na 3.55-3.62
12 Na 0.8617 0.1383 0.7500  4 Tl 3.31, 8 Na 3.62-3.66
13 Na 0.9717 0.0283 0.1138  3 Na 3.21-3.55, 2 Hg 3.24, 4 Tl 3.39-3.43
14 Na 0.9717 0.0283 0.3862  3 Na 3.21-3.55, 2 Hg 3.24, 4 Tl 3.39-3.43
15 Tl 0.2995 0.7005 0.2500  1 Hg 3.12, 8 Na 3.36-3.45
16 Tl 0.4345 0.5655 0.6115  3 Tl 3.29-3.65, 8 Na 3.31-3.56
17 Tl 0.4345 0.5655 0.8885  3 Tl 3.29-3.65, 8 Na 3.31-3.56
18 Tl 0.5655 0.4345 0.1115  3 Tl 3.29-3.65, 8 Na 3.31-3.56
19 Tl 0.5655 0.4345 0.3885  3 Tl 3.29-3.65, 8 Na 3.31-3.56
20 Tl 0.7005 0.2995 0.7500  1 Hg 3.12, 8 Na 3.36-3.45
21 Hg 0.4018 0.5982 0.2500  1 Tl 3.12, 8 Na 3.24-3.25
22 Hg 0.5982 0.4018 0.7500  1 Tl 3.12, 8 Na 3.24-3.25

---

No. 2
Na2TlHg3 | PBE | optimized geometry

Values from the calculation:
D(E_F)   0.3833 states/eV/atom
Distance to the lowest polymorph of the same formula   4 meV per atom
DFT total energy   -1.183 eV/atom
E_form   -0.20 eV/atom

abc: 3.4201 5.1573 9.0639
angles: 90.00 90.00 90.00
Closest atoms and distances in Å follow each position.
Atoms (fractional coordinates):
1 Na 0.0000 0.0000 0.0000  8 Hg 3.36-3.62, 2 Na 3.42, 4 Tl 3.51
2 Na 0.0000 0.5000 0.4735  10 Hg 3.36-3.47, 2 Na 3.42, 2 Tl 3.56
3 Tl 0.5000 0.5000 0.8183  3 Hg 3.01-3.05
4 Hg 0.5000 0.0000 0.3191  3 Hg 2.98
5 Hg 0.5000 0.0000 0.6480  1 Hg 2.98, 2 Tl 3.01
6 Hg 0.5000 0.5000 0.1545  2 Hg 2.98, 1 Tl 3.05

---

No. 3
Na2Tl8Hg | PBE | optimized geometry

Values from the calculation:
D(E_F)   0.4991 states/eV/atom
Distance to the lowest polymorph of the same formula   0 meV per atom
DFT total energy   -2.051 eV/atom
E_form   -0.06 eV/atom

abc: 9.0894 9.0894 7.9807
angles: 107.96 107.96 30.94
Closest atoms and distances in Å follow each position.
Atoms (fractional coordinates):
1 Na 0.1292 0.1292 0.1752  2 Hg 3.31, 10 Tl 3.38-3.57
2 Na 0.8708 0.8708 0.8248  2 Hg 3.31, 10 Tl 3.38-3.57
3 Tl 0.0474 0.0474 0.7297  8 Tl 3.38-3.52, 2 Na 3.38-3.41, 2 Hg 3.52
4 Tl 0.2319 0.2319 0.6408  3 Na 3.42-3.57, 9 Tl 3.44-3.52
5 Tl 0.3165 0.3165 0.0930  8 Tl 3.36-3.50, 1 Hg 3.52, 3 Na 3.55-3.56
6 Tl 0.4107 0.4107 0.5474  9 Tl 3.39-3.51, 1 Hg 3.45, 2 Na 3.50
7 Tl 0.5893 0.5893 0.4526  9 Tl 3.39-3.51, 1 Hg 3.45, 2 Na 3.50
8 Tl 0.6835 0.6835 0.9070  8 Tl 3.36-3.50, 1 Hg 3.52, 3 Na 3.55-3.56
9 Tl 0.7681 0.7681 0.3592  3 Na 3.42-3.57, 9 Tl 3.44-3.52
10 Tl 0.9526 0.9526 0.2703  8 Tl 3.38-3.52, 2 Na 3.38-3.41, 2 Hg 3.52
11 Hg 0.5000 0.5000 0.0000  4 Na 3.31, 8 Tl 3.45-3.52

---

No. 4
NaTl2Hg2 | PBE | optimized geometry

Values from the calculation:
D(E_F)   0.3908 states/eV/atom
Distance to the lowest polymorph of the same formula   41 meV per atom
DFT total energy   -1.394 eV/atom
E_form   -0.06 eV/atom

abc: 8.6672 8.6672 3.9348
angles: 90.00 90.00 90.00
Closest atoms and distances in Å follow each position.
Atoms (fractional coordinates):
1 Na 0.0000 0.0000 0.0000  4 Tl 3.35
2 Na 0.5000 0.5000 0.0000  4 Tl 3.35
3 Tl 0.1390 0.3610 0.0000  6 Hg 3.15-3.26, 2 Na 3.35, 1 Tl 3.41
4 Tl 0.3610 0.8610 0.0000  6 Hg 3.15-3.26, 2 Na 3.35, 1 Tl 3.41
5 Tl 0.6390 0.1390 0.0000  6 Hg 3.15-3.26, 2 Na 3.35, 1 Tl 3.41
6 Tl 0.8610 0.6390 0.0000  6 Hg 3.15-3.26, 2 Na 3.35, 1 Tl 3.41
7 Hg 0.1607 0.6607 0.5000  6 Tl 3.15-3.26
8 Hg 0.3393 0.1607 0.5000  6 Tl 3.15-3.26
9 Hg 0.6607 0.8393 0.5000  6 Tl 3.15-3.26
10 Hg 0.8393 0.3393 0.5000  6 Tl 3.15-3.26

---

No. 5
Na6TlHg5 | PBE | optimized geometry

Values from the calculation:
D(E_F)   0.4210 states/eV/atom
DFT total energy   -1.195 eV/atom
E_form   -0.21 eV/atom

abc: 9.2082 9.2082 5.3855
angles: 106.65 106.65 121.52
Closest atoms and distances in Å follow each position.
Atoms (fractional coordinates):
1 Na 0.0773 0.4159 0.7462  7 Hg 3.21-3.29, 1 Tl 3.29
2 Na 0.2433 0.2433 0.2439  6 Hg 3.20-3.25, 2 Tl 3.26-3.30, 1 Na 3.55
3 Na 0.4159 0.0773 0.7462  7 Hg 3.21-3.29, 1 Tl 3.29
4 Na 0.5841 0.9227 0.2538  7 Hg 3.21-3.29, 1 Tl 3.29
5 Na 0.7567 0.7567 0.7561  6 Hg 3.20-3.25, 2 Tl 3.26-3.30, 1 Na 3.55
6 Na 0.9227 0.5841 0.2538  7 Hg 3.21-3.29, 1 Tl 3.29
7 Tl 0.5000 0.5000 0.0000  8 Na 3.26-3.30, 2 Hg 3.64
8 Hg 0.0000 0.0000 0.5000  8 Na 3.20-3.26
9 Hg 0.1675 0.8325 0.0000  8 Na 3.21-3.26
10 Hg 0.3371 0.6629 0.5000  8 Na 3.22-3.29
11 Hg 0.6629 0.3371 0.5000  8 Na 3.22-3.29
12 Hg 0.8325 0.1675 0.0000  8 Na 3.21-3.26

---

No. 6
Na2Tl5Hg2 | PBE | optimized geometry

Values from the calculation:
D(E_F)   0.4041 states/eV/atom
Distance to the lowest polymorph of the same formula   0 meV per atom
DFT total energy   -1.737 eV/atom
E_form   -0.06 eV/atom

abc: 5.8462 6.3861 8.0566
angles: 70.64 69.89 82.52
Closest atoms and distances in Å follow each position.
Atoms (fractional coordinates):
1 Na 0.1105 0.3064 0.3535  2 Hg 3.32-3.33, 8 Tl 3.35-3.68
2 Na 0.8895 0.6936 0.6465  2 Hg 3.32-3.33, 8 Tl 3.35-3.68
3 Tl 0.2581 0.8469 0.1803  3 Hg 3.20-3.32, 3 Na 3.37-3.54, 5 Tl 3.38-3.51
4 Tl 0.3235 0.9101 0.7224  3 Na 3.35-3.68, 6 Tl 3.35-3.71, 3 Hg 3.37-3.60
5 Tl 0.5000 0.5000 0.5000  2 Hg 3.17, 4 Tl 3.38-3.50, 4 Na 3.41-3.55
6 Tl 0.6765 0.0899 0.2776  3 Na 3.35-3.68, 6 Tl 3.35-3.71, 3 Hg 3.37-3.60
7 Tl 0.7419 0.1531 0.8197  3 Hg 3.20-3.32, 3 Na 3.37-3.54, 5 Tl 3.38-3.51
8 Hg 0.1669 0.3319 0.9220  1 Hg 3.00, 4 Tl 3.17-3.32, 2 Na 3.32-3.33
9 Hg 0.8331 0.6681 0.0780  1 Hg 3.00, 4 Tl 3.17-3.32, 2 Na 3.32-3.33

---

No. 7
NaTlHg17 | PBE | optimized geometry

Values from the calculation:
D(E_F)   0.2203 states/eV/atom
DFT total energy   -0.500 eV/atom
E_form   -0.04 eV/atom

abc: 8.3725 8.3725 8.3725
angles: 74.51 74.51 74.51
Closest atoms and distances in Å follow each position.
Atoms (fractional coordinates):
1 Na 0.0000 0.0000 0.0000  12 Hg 3.30-3.47
2 Tl 0.6695 0.6695 0.6695  15 Hg 3.54-3.95
3 Hg 0.0095 0.3148 0.6325  6 Hg 3.09-3.33
4 Hg 0.0095 0.6325 0.3148  6 Hg 3.09-3.33
5 Hg 0.0755 0.7326 0.7326  8 Hg 3.12-3.48, 1 Na 3.40
6 Hg 0.2108 0.2108 0.2108  4 Hg 2.99
7 Hg 0.3148 0.0095 0.6325  6 Hg 3.09-3.33
8 Hg 0.3148 0.6325 0.0095  6 Hg 3.09-3.33
9 Hg 0.3775 0.3775 0.3775  10 Hg 2.99-3.33
10 Hg 0.3904 0.3904 0.7414  5 Hg 3.11-3.33
11 Hg 0.3904 0.7414 0.3904  5 Hg 3.11-3.33
12 Hg 0.4047 0.9772 0.9772  5 Hg 2.99-3.12, 1 Na 3.30
13 Hg 0.6325 0.0095 0.3148  6 Hg 3.09-3.33
14 Hg 0.6325 0.3148 0.0095  6 Hg 3.09-3.33
15 Hg 0.7326 0.0755 0.7326  8 Hg 3.12-3.48, 1 Na 3.40
16 Hg 0.7326 0.7326 0.0755  8 Hg 3.12-3.48, 1 Na 3.40
17 Hg 0.7414 0.3904 0.3904  5 Hg 3.11-3.33
18 Hg 0.9772 0.4047 0.9772  5 Hg 2.99-3.12, 1 Na 3.30
19 Hg 0.9772 0.9772 0.4047  5 Hg 2.99-3.12, 1 Na 3.30

---

No. 8
Na2TlHg | PBE | optimized geometry

Values from the calculation:
D(E_F)   0.6933 states/eV/atom
DFT total energy   -1.489 eV/atom
E_form   -0.16 eV/atom

abc: 3.4999 3.4999 8.8735
angles: 90.00 90.00 90.00
Closest atoms and distances in Å follow each position.
Atoms (fractional coordinates):
1 Na 0.0000 0.0000 0.2382  4 Hg 3.25, 4 Tl 3.39, 4 Na 3.50
2 Na 0.0000 0.0000 0.7618  4 Hg 3.25, 4 Tl 3.39, 4 Na 3.50
3 Tl 0.5000 0.5000 0.5000  8 Na 3.39, 4 Tl 3.50
4 Hg 0.5000 0.5000 0.0000  8 Na 3.25, 4 Hg 3.50

---

No. 9
Na5TlHg | PBE | optimized geometry

Values from the calculation:
D(E_F)   0.4369 states/eV/atom
Distance to the lowest polymorph of the same formula   215 meV per atom
DFT total energy   -1.211 eV/atom
E_form   0.11 eV/atom

abc: 7.9854 7.9854 7.9854
angles: 113.32 83.34 136.06
Closest atoms and distances in Å follow each position.
Atoms (fractional coordinates):
1 Na 0.0000 0.0000 0.0000  2 Tl 2.91-3.07
2 Na 0.3196 0.5721 0.7475  1 Hg 3.04, 1 Tl 3.06
3 Na 0.6767 0.3549 0.6783  1 Tl 3.04, 1 Na 3.13, 1 Hg 3.30
4 Na 0.6767 0.9984 0.3217  1 Tl 3.04, 1 Na 3.13, 1 Hg 3.30
5 Na 0.8246 0.5721 0.2525  1 Hg 3.04, 1 Tl 3.06
6 Tl 0.4865 0.4865 0.0000  6 Na 2.91-3.07
7 Hg 0.1912 0.6912 0.5000  4 Na 3.04-3.30

---

No. 10
NaTl2Hg | PBE | optimized geometry

Values from the calculation:
D(E_F)   0.4347 states/eV/atom
DFT total energy   -1.625 eV/atom
E_form   -0.04 eV/atom

abc: 6.9719 6.9719 6.9719
angles: 102.52 102.52 124.51
Closest atoms and distances in Å follow each position.
Atoms (fractional coordinates):
1 Na 0.0000 0.0000 0.0000  2 Hg 3.25, 4 Tl 3.33
2 Na 0.7500 0.2500 0.5000  2 Hg 3.25, 4 Tl 3.33
3 Tl 0.1481 0.6250 0.0231  2 Hg 3.06, 2 Tl 3.27, 2 Na 3.33
4 Tl 0.3750 0.3981 0.5231  2 Hg 3.06, 2 Tl 3.27, 2 Na 3.33
5 Tl 0.6019 0.1250 0.9769  2 Hg 3.06, 2 Tl 3.27, 2 Na 3.33
6 Tl 0.8750 0.8519 0.4769  2 Hg 3.06, 2 Tl 3.27, 2 Na 3.33
7 Hg 0.2500 0.7500 0.5000  4 Tl 3.06, 2 Na 3.25
8 Hg 0.5000 0.5000 0.0000  4 Tl 3.06, 2 Na 3.25

---

Among the records above, which one has the highest D(E_F)?
Na2TlHg

---

Please write out number 7 again, unchanged.
NaTlHg17 | PBE | optimized geometry

Values from the calculation:
D(E_F)   0.2203 states/eV/atom
DFT total energy   -0.500 eV/atom
E_form   -0.04 eV/atom

abc: 8.3725 8.3725 8.3725
angles: 74.51 74.51 74.51
Closest atoms and distances in Å follow each position.
Atoms (fractional coordinates):
1 Na 0.0000 0.0000 0.0000  12 Hg 3.30-3.47
2 Tl 0.6695 0.6695 0.6695  15 Hg 3.54-3.95
3 Hg 0.0095 0.3148 0.6325  6 Hg 3.09-3.33
4 Hg 0.0095 0.6325 0.3148  6 Hg 3.09-3.33
5 Hg 0.0755 0.7326 0.7326  8 Hg 3.12-3.48, 1 Na 3.40
6 Hg 0.2108 0.2108 0.2108  4 Hg 2.99
7 Hg 0.3148 0.0095 0.6325  6 Hg 3.09-3.33
8 Hg 0.3148 0.6325 0.0095  6 Hg 3.09-3.33
9 Hg 0.3775 0.3775 0.3775  10 Hg 2.99-3.33
10 Hg 0.3904 0.3904 0.7414  5 Hg 3.11-3.33
11 Hg 0.3904 0.7414 0.3904  5 Hg 3.11-3.33
12 Hg 0.4047 0.9772 0.9772  5 Hg 2.99-3.12, 1 Na 3.30
13 Hg 0.6325 0.0095 0.3148  6 Hg 3.09-3.33
14 Hg 0.6325 0.3148 0.0095  6 Hg 3.09-3.33
15 Hg 0.7326 0.0755 0.7326  8 Hg 3.12-3.48, 1 Na 3.40
16 Hg 0.7326 0.7326 0.0755  8 Hg 3.12-3.48, 1 Na 3.40
17 Hg 0.7414 0.3904 0.3904  5 Hg 3.11-3.33
18 Hg 0.9772 0.4047 0.9772  5 Hg 2.99-3.12, 1 Na 3.30
19 Hg 0.9772 0.9772 0.4047  5 Hg 2.99-3.12, 1 Na 3.30